No. 1
The following is a DFT calculation (meta-GGA SCAN) of a crystal of CsMo6Se7 relaxed with PBEsol. Values from VASP.

- ρ (g/cm3) = 6.4
- E_tot (eV/atom) = -28.40
- Fermi-level density of states (states/eV per atom) = 0.223

Cell and atoms, written as Quantum ESPRESSO input:
```
&SYSTEM
  ibrav = 0, nat = 28, ntyp = 3
/
ATOMIC_SPECIES
Cs 132.91 Cs.upf
Mo 95.94 Mo.upf
Se 78.96 Se.upf
ATOMIC_POSITIONS crystal
Cs 0.127 0.127 0.127
Cs 0.873 0.873 0.873
Mo 0.192 0.507 0.384
Mo 0.305 0.437 0.624
Mo 0.376 0.695 0.563
Mo 0.384 0.192 0.507
Mo 0.437 0.624 0.305
Mo 0.493 0.616 0.808
Mo 0.507 0.384 0.192
Mo 0.563 0.376 0.695
Mo 0.616 0.808 0.493
Mo 0.624 0.305 0.437
Mo 0.695 0.563 0.376
Mo 0.808 0.493 0.616
Se 0.080 0.329 0.699
Se 0.125 0.742 0.489
Se 0.258 0.511 0.875
Se 0.279 0.279 0.279
Se 0.301 0.920 0.671
Se 0.329 0.699 0.080
Se 0.489 0.125 0.742
Se 0.511 0.875 0.258
Se 0.671 0.301 0.920
Se 0.699 0.080 0.329
Se 0.721 0.721 0.721
Se 0.742 0.489 0.125
Se 0.875 0.258 0.511
Se 0.920 0.671 0.301
CELL_PARAMETERS angstrom
4.796 2.769 8.150
-4.796 2.769 8.150
0.000 -5.538 8.150
```

=====

No. 2
The following is a DFT calculation (meta-GGA SCAN) of a crystal of SbBrO relaxed with PBEsol. Values from VASP.

- ρ (g/cm3) = 6.0
- polymorph energy (0 for the lowest one) (meV/atom) = 36
- E_tot (eV/atom) = -22.02
- Fermi-level density of states (states/eV per atom) = 0.000

Cell and atoms, written as Quantum ESPRESSO input:
```
&SYSTEM
  ibrav = 0, nat = 6, ntyp = 3
/
ATOMIC_SPECIES
Sb 121.76 Sb.upf
Br 79.90 Br.upf
O 16.00 O.upf
ATOMIC_POSITIONS crystal
Sb 0.250 0.250 0.146
Sb 0.750 0.750 0.854
Br 0.250 0.250 0.670
Br 0.750 0.750 0.330
O 0.250 0.750 0.000
O 0.750 0.250 0.000
CELL_PARAMETERS angstrom
3.788 0.000 0.000
0.000 3.788 0.000
0.000 0.000 8.345
```

=====

No. 3
The following is a DFT calculation (meta-GGA SCAN) of a crystal of LiPRh relaxed with PBEsol. Values from VASP.

- ρ (g/cm3) = 6.2
- energy of formation (meV/atom) = -80
- E_tot (eV/atom) = -15.60
- Fermi-level density of states (states/eV per atom) = 0.591

Cell and atoms, written as Quantum ESPRESSO input:
```
&SYSTEM
  ibrav = 0, nat = 3, ntyp = 3
/
ATOMIC_SPECIES
Li 6.94 Li.upf
P 30.97 P.upf
Rh 102.91 Rh.upf
ATOMIC_POSITIONS crystal
Li 0.000 0.000 0.000
P 0.250 0.250 0.250
Rh 0.750 0.750 0.750
CELL_PARAMETERS angstrom
0.000 2.660 2.660
2.660 0.000 2.660
2.660 2.660 0.000
```

=====

No. 4
The following is a DFT calculation (meta-GGA SCAN) of a crystal of KFePt2 relaxed with PBEsol. Values from VASP.

- ρ (g/cm3) = 12.2
- polymorph energy (0 for the lowest one) (meV/atom) = 295
- energy of formation (meV/atom) = 311
- E_tot (eV/atom) = -41.40
- Fermi-level density of states (states/eV per atom) = 0.513

Cell and atoms, written as Quantum ESPRESSO input:
```
&SYSTEM
  ibrav = 0, nat = 4, ntyp = 3
/
ATOMIC_SPECIES
K 39.10 K.upf
Fe 55.84 Fe.upf
Pt 195.08 Pt.upf
ATOMIC_POSITIONS crystal
K 0.000 0.000 0.000
Fe 0.500 0.500 0.000
Pt 0.000 0.500 0.500
Pt 0.500 0.000 0.500
CELL_PARAMETERS angstrom
2.882 -4.205 0.000
2.882 4.205 0.000
0.000 0.000 2.719
```

=====

No. 5
The following is a DFT calculation (meta-GGA SCAN) of a crystal of CoAgOsW2 relaxed with PBEsol. Values from VASP.

- ρ (g/cm3) = 12.4
- energy of formation (meV/atom) = 1946
- E_tot (eV/atom) = -50.04
- Fermi-level density of states (states/eV per atom) = 0.891

Cell and atoms, written as Quantum ESPRESSO input:
```
&SYSTEM
  ibrav = 0, nat = 5, ntyp = 4
/
ATOMIC_SPECIES
Co 58.93 Co.upf
Ag 107.87 Ag.upf
Os 190.23 Os.upf
W 183.84 W.upf
ATOMIC_POSITIONS crystal
Co 0.000 0.000 0.000
Ag 0.500 0.500 0.000
Os 0.000 0.000 0.500
W 0.000 0.500 0.500
W 0.500 0.000 0.500
CELL_PARAMETERS angstrom
4.692 0.000 0.000
0.000 4.692 0.000
0.000 0.000 4.420
```

=====

No. 6
The following is a DFT calculation (meta-GGA SCAN) of a crystal of PrSi2 relaxed with PBEsol. Values from VASP.

- ρ (g/cm3) = 5.3
- E_tot (eV/atom) = -21.72
- Fermi-level density of states (states/eV per atom) = 0.420

Cell and atoms, written as Quantum ESPRESSO input:
```
&SYSTEM
  ibrav = 0, nat = 6, ntyp = 2
/
ATOMIC_SPECIES
Pr 140.91 Pr.upf
Si 28.09 Si.upf
ATOMIC_POSITIONS crystal
Pr 0.375 0.625 0.750
Pr 0.625 0.375 0.250
Si 0.040 0.790 0.250
Si 0.210 0.960 0.250
Si 0.790 0.040 0.750
Si 0.960 0.210 0.750
CELL_PARAMETERS angstrom
-2.111 2.111 6.873
2.111 -2.111 6.873
2.111 2.111 -6.873
```

=====

No. 7
The following is a DFT calculation (meta-GGA SCAN) of a crystal of HfZr3O relaxed with PBEsol. Values from VASP.

- ρ (g/cm3) = 8.6
- E_tot (eV/atom) = -33.40
- Fermi-level density of states (states/eV per atom) = 0.677

Cell and atoms, written as Quantum ESPRESSO input:
```
&SYSTEM
  ibrav = 0, nat = 5, ntyp = 3
/
ATOMIC_SPECIES
Hf 178.49 Hf.upf
Zr 91.22 Zr.upf
O 16.00 O.upf
ATOMIC_POSITIONS crystal
Hf 0.000 0.000 0.000
Zr 0.000 0.500 0.500
Zr 0.500 0.000 0.500
Zr 0.500 0.500 0.000
O 0.500 0.500 0.500
CELL_PARAMETERS angstrom
4.483 0.000 0.000
0.000 4.483 0.000
0.000 0.000 4.483
```

=====

No. 8
The following is a DFT calculation (meta-GGA SCAN) of a crystal of La5Cd3 relaxed with PBEsol. Values from VASP.

- ρ (g/cm3) = 7.2
- polymorph energy (0 for the lowest one) (meV/atom) = 46
- energy of formation (meV/atom) = -265
- E_tot (eV/atom) = -38.61
- Fermi-level density of states (states/eV per atom) = 1.315

Cell and atoms, written as Quantum ESPRESSO input:
```
&SYSTEM
  ibrav = 0, nat = 8, ntyp = 2
/
ATOMIC_SPECIES
La 138.91 La.upf
Cd 112.41 Cd.upf
ATOMIC_POSITIONS crystal
La 0.000 0.000 0.000
La 0.000 0.500 0.000
La 0.281 0.281 0.500
La 0.500 0.000 0.000
La 0.719 0.719 0.500
Cd 0.231 0.769 0.500
Cd 0.500 0.500 0.000
Cd 0.769 0.231 0.500
CELL_PARAMETERS angstrom
3.906 -5.469 0.000
3.906 5.469 0.000
0.000 0.000 5.558
```

=====

| no. | total magnetization (Bohr magnetons per cell) |
| --- | --- |
| 1 | 0.000 |
| 2 | 0.000 |
| 3 | 0.001 |
| 4 | 3.558 |
| 5 | 1.393 |
| 6 | 0.000 |
| 7 | 0.000 |
| 8 | 0.003 |